Record 1
Here is crystalline TePt at its relaxed geometry from the Alexandria database. Energies are from PBE-GGA.

Properties
Formation energy (no corrections): -0.195 eV/atom
Size of the total moment: 0.00 μB/f.u.

Cell: 9.980 9.980 3.936 Å, 90.00 90.00 90.00°
Fractional coordinates of all 16 atoms:
1 Te 0.691 0.647 0.500
2 Te 0.309 0.353 0.500
3 Te 0.353 0.691 0.500
4 Te 0.647 0.309 0.500
5 Te 0.978 0.226 0.000
6 Te 0.022 0.774 0.000
7 Te 0.774 0.978 0.000
8 Te 0.226 0.022 0.000
9 Pt 0.908 0.386 0.500
10 Pt 0.092 0.614 0.500
11 Pt 0.614 0.908 0.500
12 Pt 0.386 0.092 0.500
13 Pt 0.852 0.574 0.000
14 Pt 0.148 0.426 0.000
15 Pt 0.426 0.852 0.000
16 Pt 0.574 0.148 0.000

Record 2
Here is crystalline LaCeTc4 at its relaxed geometry from the Alexandria database. Energies are from PBE-GGA.

Properties
Size of the total moment: 0.01 μB/f.u.
Energy of formation: 0.042 eV per atom

Cell: 5.471 5.471 5.471 Å, 60.00 60.00 60.00°
Fractional coordinates of all 6 atoms:
1 Tc 0.625 0.625 0.125
2 Tc 0.625 0.125 0.625
3 Tc 0.625 0.625 0.625
4 Tc 0.125 0.625 0.625
5 Ce 0.000 0.000 0.000
6 La 0.250 0.250 0.250

Record 3
Here is crystalline Zn6Ag2Au3 at its relaxed geometry from the Alexandria database. Energies are from PBE-GGA.

Properties
Size of the total moment: 0.00 μB/f.u.
Polymorph energy (0 for the lowest one): 0.059 eV/atom
Energy of formation: -0.012 eV per atom

Cell: 3.901 3.901 13.486 Å, 98.32 98.32 90.00°
Fractional coordinates of all 11 atoms:
1 Zn 0.068 0.568 0.136
2 Zn 0.568 0.068 0.136
3 Zn 0.932 0.432 0.864
4 Zn 0.432 0.932 0.864
5 Zn 0.766 0.766 0.532
6 Zn 0.234 0.234 0.468
7 Ag 0.334 0.334 0.668
8 Ag 0.666 0.666 0.332
9 Au 0.000 0.000 0.000
10 Au 0.863 0.863 0.727
11 Au 0.137 0.137 0.273

Record 4
Here is crystalline LiHgRu at its relaxed geometry from the Alexandria database. Energies are from PBE-GGA.

Properties
Size of the total moment: 1.09 μB/f.u.
Polymorph energy (0 for the lowest one): 0.335 eV/atom
Energy of formation: 0.654 eV per atom

Cell: 4.138 4.138 4.138 Å, 60.00 60.00 60.00°
Last column: magnetic moment on the atom in μB.
Fractional coordinates of all 3 atoms:
1 Hg 0.500 0.500 0.500  -0.01
2 Li 0.750 0.750 0.750  -0.01
3 Ru 0.000 0.000 0.000  1.07

Record 5
Here is crystalline Pm8YSc4 at its relaxed geometry from the Alexandria database. Energies are from PBE-GGA.

Properties
Size of the total moment: 0.00 μB/f.u.
Energy of formation: 0.244 eV per atom

Cell: 6.989 6.989 10.495 Å, 90.00 109.45 120.00°
Fractional coordinates of all 13 atoms:
1 Pm 0.578 0.789 0.367
2 Pm 0.422 0.211 0.633
3 Pm 0.494 0.247 0.274
4 Pm 0.973 0.221 0.726
5 Pm 0.506 0.753 0.726
6 Pm 0.973 0.753 0.726
7 Pm 0.027 0.247 0.274
8 Pm 0.027 0.779 0.274
9 Y 0.000 0.500 0.500
10 Sc 0.000 0.000 0.000
11 Sc 0.000 0.500 0.000
12 Sc 0.500 0.500 0.000
13 Sc 0.500 0.000 0.000

Record 6
Here is crystalline HoTh2Fe2 at its relaxed geometry from the Alexandria database. Energies are from PBE-GGA.

Properties
Size of the total moment: 0.00 μB/f.u.
Polymorph energy (0 for the lowest one): 0.025 eV/atom
Energy of formation: 0.031 eV per atom

Cell: 3.969 5.372 6.041 Å, 106.63 109.18 90.00°
Fractional coordinates of all 5 atoms:
1 Ho 0.000 0.000 0.000
2 Th 0.341 0.373 0.682
3 Th 0.659 0.627 0.318
4 Fe 0.703 0.138 0.405
5 Fe 0.297 0.862 0.595

Record 7
Here is crystalline Ac8NiP3I4 at its relaxed geometry from the Alexandria database. Energies are from PBE-GGA.

Properties
Formation energy (no corrections): -1.135 eV/atom
Size of the total moment: 0.00 μB/f.u.

Cell: 8.921 9.658 8.921 Å, 117.51 120.00 90.00°
Fractional coordinates of all 16 atoms:
1 Ac 0.226 0.693 0.967
2 Ac 0.226 0.693 0.452
3 Ac 0.268 0.304 0.536
4 Ac 0.741 0.693 0.967
5 Ac 0.259 0.307 0.033
6 Ac 0.732 0.696 0.464
7 Ac 0.774 0.307 0.548
8 Ac 0.774 0.307 0.033
9 Ni 0.000 0.500 0.000
10 P 0.500 0.500 0.000
11 P 0.500 0.500 0.500
12 P 0.000 0.500 0.500
13 I 0.500 0.000 0.000
14 I 0.500 0.000 0.500
15 I 0.000 0.000 0.000
16 I 0.000 0.000 0.500

Record 8
Here is crystalline TmZnAs2Rh5 at its relaxed geometry from the Alexandria database. Energies are from PBE-GGA.

Properties
Size of the total moment: 0.00 μB/f.u.
Energy of formation: -0.540 eV per atom

Cell: 4.145 4.145 8.441 Å, 90.00 90.00 90.00°
Fractional coordinates of all 9 atoms:
1 Tm 0.000 0.000 0.000
2 Zn 0.000 0.000 0.500
3 As 0.500 0.500 0.146
4 As 0.500 0.500 0.854
5 Rh 0.000 0.500 0.287
6 Rh 0.500 0.000 0.287
7 Rh 0.000 0.500 0.713
8 Rh 0.500 0.000 0.713
9 Rh 0.500 0.500 0.500

Record 9
Here is crystalline SrCe3Ir at its relaxed geometry from the Alexandria database. Energies are from PBE-GGA.

Properties
Size of the total moment: 4.04 μB/f.u.
Energy of formation: -0.128 eV per atom

Cell: 5.632 5.632 5.632 Å, 90.00 90.00 90.00°
Last column: magnetic moment on the atom in μB.
Fractional coordinates of all 5 atoms:
1 Sr 0.500 0.500 0.500  0.05
2 Ir 0.000 0.000 0.000  -0.05
3 Ce 0.000 0.500 0.000  0.96
4 Ce 0.000 0.000 0.500  0.96
5 Ce 0.500 0.000 0.000  0.96

Record 10
Here is crystalline Sn6Te at its relaxed geometry from the Alexandria database. Energies are from PBE-GGA.

Properties
Formation energy (no corrections): 0.303 eV/atom
Size of the total moment: 1.53 μB/f.u.

Cell: 7.004 7.004 7.004 Å, 109.47 109.47 109.47°
Last column: magnetic moment on the atom in μB.
Fractional coordinates of all 7 atoms:
1 Sn 0.250 0.750 0.500  0.04
2 Sn 0.500 0.750 0.250  0.04
3 Sn 0.250 0.500 0.750  0.04
4 Sn 0.750 0.250 0.500  0.04
5 Sn 0.500 0.250 0.750  0.04
6 Sn 0.750 0.500 0.250  0.04
7 Te 0.000 0.000 0.000  0.59

Record 11
Here is crystalline MgAs2Cl at its relaxed geometry from the Alexandria database. Energies are from PBE-GGA.

Properties
Formation energy (no corrections): -0.436 eV/atom
Size of the total moment: 0.00 μB/f.u.
Polymorph energy (0 for the lowest one): 0.158 eV/atom

Cell: 3.465 3.465 8.149 Å, 90.00 90.00 90.00°
Fractional coordinates of all 4 atoms:
1 As 0.000 0.000 0.008
2 As 0.500 0.500 0.128
3 Cl 0.000 0.000 0.598
4 Mg 0.500 0.500 0.766

Record 12
Here is crystalline Nd4SmTh2 at its relaxed geometry from the Alexandria database. Energies are from PBE-GGA.

Properties
Size of the total moment: 0.00 μB/f.u.
Energy of formation: 0.036 eV per atom

Cell: 3.650 3.650 20.883 Å, 84.99 84.99 60.00°
Fractional coordinates of all 7 atoms:
1 Nd 0.381 0.381 0.858
2 Nd 0.096 0.096 0.712
3 Nd 0.619 0.619 0.142
4 Nd 0.904 0.904 0.288
5 Sm 0.000 0.000 0.000
6 Th 0.190 0.190 0.431
7 Th 0.810 0.810 0.569

Record 13
Here is crystalline ZnIn2Sb2 at its relaxed geometry from the Alexandria database. Energies are from PBE-GGA.

Properties
Formation energy (no corrections): 0.158 eV/atom
Size of the total moment: 0.00 μB/f.u.
Polymorph energy (0 for the lowest one): 0.000 eV/atom

Cell: 7.890 7.890 4.419 Å, 90.00 90.00 90.00°
Fractional coordinates of all 10 atoms:
1 Sb 0.330 0.830 0.000
2 Sb 0.830 0.670 0.000
3 Sb 0.670 0.170 0.000
4 Sb 0.170 0.330 0.000
5 Zn 0.000 0.000 0.000
6 Zn 0.500 0.500 0.000
7 In 0.143 0.643 0.500
8 In 0.643 0.857 0.500
9 In 0.857 0.357 0.500
10 In 0.357 0.143 0.500

Record 14
Here is crystalline KZn3Si at its relaxed geometry from the Alexandria database. Energies are from PBE-GGA.

Properties
Formation energy (no corrections): 1.306 eV/atom
Size of the total moment: 2.93 μB/f.u.
Polymorph energy (0 for the lowest one): 1.039 eV/atom

Cell: 6.267 6.267 6.267 Å, 90.00 90.00 90.00°
Last column: magnetic moment on the atom in μB.
Fractional coordinates of all 5 atoms:
1 Zn 0.000 0.500 0.000  0.04
2 Zn 0.000 0.000 0.500  0.03
3 Zn 0.500 0.000 0.000  0.04
4 Si 0.500 0.500 0.500  0.59
5 K 0.000 0.000 0.000  0.01

Record 15
Here is crystalline NpTl2SiO6 at its relaxed geometry from the Alexandria database. Energies are from PBE-GGA.

Properties
Formation energy (no corrections): -1.934 eV/atom
Size of the total moment: 1.00 μB/f.u.

Cell: 5.529 5.529 6.492 Å, 64.81 64.81 90.00°
Last column: magnetic moment on the atom in μB.
Fractional coordinates of all 10 atoms:
1 Np 0.000 0.000 0.000  1.20
2 Tl 0.750 0.250 0.500  0.00
3 Tl 0.250 0.750 0.500  0.00
4 Si 0.500 0.500 0.000  0.00
5 O 0.184 0.184 0.632  -0.04
6 O 0.718 0.718 0.000  -0.03
7 O 0.282 0.718 0.000  -0.03
8 O 0.718 0.282 0.000  -0.03
9 O 0.282 0.282 0.000  -0.03
10 O 0.816 0.816 0.368  -0.04

Record 16
Here is crystalline ErScNi at its relaxed geometry from the Alexandria database. Energies are from PBE-GGA.

Properties
Size of the total moment: 0.00 μB/f.u.
Polymorph energy (0 for the lowest one): 0.000 eV/atom
Energy of formation: -0.337 eV per atom

Cell: 6.854 8.259 8.259 Å, 67.96 65.48 65.48°
Fractional coordinates of all 18 atoms:
1 Er 0.157 0.048 0.548
2 Er 0.753 0.952 0.452
3 Er 0.350 0.750 0.250
4 Er 0.350 0.250 0.750
5 Er 0.753 0.452 0.952
6 Er 0.157 0.548 0.048
7 Sc 0.017 0.000 0.000
8 Sc 0.017 0.500 0.500
9 Sc 0.754 0.368 0.368
10 Sc 0.489 0.632 0.632
11 Sc 0.489 0.132 0.132
12 Sc 0.754 0.868 0.868
13 Ni 0.753 0.250 0.750
14 Ni 0.753 0.750 0.250
15 Ni 0.087 0.167 0.167
16 Ni 0.420 0.833 0.833
17 Ni 0.420 0.333 0.333
18 Ni 0.087 0.667 0.667

Record 17
Here is crystalline PrOsRu at its relaxed geometry from the Alexandria database. Energies are from PBE-GGA.

Properties
Size of the total moment: 0.00 μB/f.u.
Polymorph energy (0 for the lowest one): 0.096 eV/atom
Energy of formation: 0.020 eV per atom

Cell: 4.466 5.795 5.603 Å, 79.64 66.51 67.33°
Fractional coordinates of all 6 atoms:
1 Ru 0.326 0.251 0.097
2 Ru 0.674 0.749 0.903
3 Os 0.654 0.426 0.265
4 Os 0.346 0.574 0.735
5 Pr 0.935 0.819 0.311
6 Pr 0.065 0.181 0.689

Record 18
Here is crystalline Li5ZnIn8 at its relaxed geometry from the Alexandria database. Energies are from PBE-GGA.

Properties
Size of the total moment: 0.00 μB/f.u.
Energy of formation: -0.142 eV per atom

Cell: 7.347 7.347 7.347 Å, 111.84 104.82 111.84°
Fractional coordinates of all 14 atoms:
1 Li 0.032 0.320 0.127
2 Li 0.873 0.905 0.193
3 Li 0.807 0.680 0.712
4 Li 0.500 0.000 0.500
5 Li 0.288 0.095 0.968
6 Zn 0.250 0.500 0.750
7 In 0.145 0.726 0.071
8 In 0.929 0.074 0.655
9 In 0.756 0.261 0.359
10 In 0.641 0.397 0.903
11 In 0.506 0.603 0.244
12 In 0.581 0.926 0.855
13 In 0.345 0.274 0.419
14 In 0.097 0.739 0.494

Record 19
Here is crystalline GaCo3H at its relaxed geometry from the Alexandria database. Energies are from PBE-GGA.

Properties
Size of the total moment: 3.45 μB/f.u.
Polymorph energy (0 for the lowest one): 0.081 eV/atom

Cell: 10.810 6.605 6.605 Å, 109.77 136.60 43.40°
Last column: magnetic moment on the atom in μB.
Fractional coordinates of all 20 atoms:
1 H 0.326 0.159 0.512  -0.01
2 H 0.174 0.012 0.659  -0.01
3 H 0.674 0.841 0.488  -0.01
4 H 0.826 0.988 0.341  -0.01
5 Co 0.412 0.251 0.414  1.16
6 Co 0.088 0.914 0.751  1.15
7 Co 0.588 0.749 0.586  1.16
8 Co 0.912 0.086 0.249  1.15
9 Co 0.081 0.257 0.080  1.26
10 Co 0.419 0.580 0.757  1.26
11 Co 0.919 0.743 0.920  1.26
12 Co 0.581 0.420 0.243  1.26
13 Co 0.587 0.088 0.914  1.19
14 Co 0.913 0.414 0.588  1.19
15 Co 0.413 0.912 0.086  1.19
16 Co 0.087 0.586 0.412  1.19
17 Ga 0.750 0.236 0.736  -0.07
18 Ga 0.250 0.764 0.264  -0.07
19 Ga 0.750 0.604 0.104  -0.09
20 Ga 0.250 0.396 0.896  -0.09

Record 20
Here is crystalline CaPHO at its relaxed geometry from the Alexandria database. Energies are from PBE-GGA.

Properties
Size of the total moment: 0.00 μB/f.u.
Polymorph energy (0 for the lowest one): 0.194 eV/atom

Cell: 4.046 4.280 4.342 Å, 91.20 115.02 112.14°
Fractional coordinates of all 4 atoms:
1 Ca 0.575 0.962 0.076
2 P 0.653 0.520 0.593
3 H 0.070 0.294 0.670
4 O 0.229 0.181 0.612